1.
This record from the Alexandria database describes crystalline Li2HgPt at its relaxed geometry. The functional is PBE-GGA.

```
4
Lattice="-2.899 -2.824 2.821 -2.254 -3.447 -2.716 4.720 1.382 0.395" Properties=species:S:1:pos:R:3 pbc="T T T"
Hg -0.378 -2.289 1.634
Pt -2.577 -3.136 0.052
Li 0.000 0.000 0.000
Li -0.056 -2.600 -1.135
```

Properties
The value obtained for the energy is -12.0 eV/cell.

=====

2.
This record from the Alexandria database describes crystalline Pm3SmHg4 at its relaxed geometry. The functional is PBE-GGA.

```
8
Lattice="-2.619 -1.521 -2.309 2.765 -1.404 -2.211 0.126 -12.790 8.279" Properties=species:S:1:pos:R:3 pbc="T T T"
Hg 0.111 -11.213 7.258
Hg 0.016 -1.577 1.021
Hg 0.047 -4.792 3.102
Hg 0.079 -7.998 5.177
Sm 0.073 -1.462 -2.260
Pm 0.104 -4.650 -0.197
Pm 0.136 -7.857 1.879
Pm 0.167 -11.064 3.955
```

Properties
The value obtained for the energy is -24.0 eV/cell.

=====

3.
This record from the Alexandria database describes crystalline Pr3NiGe3 at its relaxed geometry. The functional is PBE-GGA.

```
14
Lattice="-4.215 -0.977 -0.641 -0.953 -2.066 -5.508 0.251 -13.211 3.564" Properties=species:S:1:pos:R:3 pbc="T T T"
Pr -2.389 -9.321 0.069
Pr -2.528 -6.933 -2.654
Pr -1.252 -3.860 -0.806
Pr -3.665 -12.393 -1.778
Pr -1.721 -13.133 1.491
Pr -3.196 -3.121 -4.076
Ni -3.176 -6.150 0.413
Ni -1.741 -10.104 -2.997
Ge -4.150 -9.573 -2.884
Ge -0.766 -6.680 0.300
Ge -1.066 -14.051 -1.421
Ge -3.851 -2.203 -1.164
Ge -4.769 -5.856 -4.482
Ge -0.148 -10.398 1.898
```

Properties
The value obtained for the energy is -78.6 eV/cell.

=====

4.
This record from the Alexandria database describes crystalline TbYF5 at its relaxed geometry. The functional is PBE-GGA.

```
14
Lattice="6.021 -0.129 -0.078 1.788 5.751 -0.078 2.702 1.945 7.133" Properties=species:S:1:pos:R:3 pbc="T T T"
Tb 4.644 3.209 1.705
Tb 5.868 4.359 5.272
Y 0.000 0.000 0.000
Y 1.351 0.973 3.567
F 6.244 4.389 0.779
F 4.473 4.751 3.343
F 7.494 5.502 4.346
F 5.984 1.348 1.705
F 3.236 3.861 0.067
F 7.276 3.707 6.910
F 4.528 6.220 5.272
F 3.018 2.066 2.631
F 6.039 2.817 3.634
F 4.268 3.179 6.198
```

Properties
The value obtained for the energy relative to the elements, uncorrected is -3817.8 meV per atom.

=====

5.
This record from the Alexandria database describes crystalline Bi2P2Os at its relaxed geometry. The functional is PBE-GGA.

```
10
Lattice="7.599 0.000 0.000 0.000 7.599 0.000 0.000 0.000 3.954" Properties=species:S:1:pos:R:3 pbc="T T T"
P 1.381 5.181 1.977
P 5.181 6.218 1.977
P 6.218 2.419 1.977
P 2.419 1.381 1.977
Os 0.000 0.000 0.000
Os 3.800 3.800 0.000
Bi 2.638 6.438 0.000
Bi 6.438 4.961 0.000
Bi 4.961 1.161 0.000
Bi 1.161 2.638 0.000
```

Properties
As for the energy above the most stable polymorph in this dataset: 0.665 eV/atom.

=====

6.
This record from the Alexandria database describes crystalline NpPdRh at its relaxed geometry. The functional is PBE-GGA.

```
3
Lattice="2.918 0.000 0.000 0.000 4.651 0.000 0.000 -2.325 4.028" Properties=species:S:1:pos:R:3 pbc="T T T"
Np 0.000 0.000 0.000
Rh 1.459 2.325 1.343
Pd 1.459 0.000 2.685
```

Properties
As for the energy above the most stable polymorph in this dataset: 0.023 eV/atom.

=====

7.
This record from the Alexandria database describes crystalline BaLiGaAu3 at its relaxed geometry. The functional is PBE-GGA.

```
12
Lattice="-1.612 5.976 -2.873 -4.763 -3.044 -3.660 -1.999 2.636 6.605" Properties=species:S:1:pos:R:3 pbc="T T T"
Ba -3.672 5.108 0.530
Ba -4.702 0.459 -0.458
Li -3.894 2.381 3.086
Li -4.481 3.186 -3.015
Ga -0.465 1.510 -0.651
Ga -7.909 4.058 0.722
Au -2.202 1.951 1.242
Au -1.385 -0.885 -1.064
Au -4.185 0.829 -4.032
Au -2.191 2.103 -2.500
Au -3.379 -2.159 -2.596
Au -6.172 3.616 -1.171
```

Properties
The value obtained for the energy is -38.8 eV/cell.

=====

8.
This record from the Alexandria database describes crystalline TaHg2 at its relaxed geometry. The functional is PBE-GGA.

```
9
Lattice="-1.756 7.701 -2.653 -0.286 -6.406 -5.321 -3.010 -0.446 0.698" Properties=species:S:1:pos:R:3 pbc="T T T"
Ta -1.505 -0.223 0.349
Ta -0.776 -1.703 -4.432
Ta -1.266 2.999 -3.542
Hg -0.083 -1.873 -1.556
Hg -1.681 -4.178 -2.937
Hg -0.513 2.251 -0.776
Hg -1.445 0.917 -5.643
Hg -2.589 4.533 -1.289
Hg -2.286 0.273 -2.701
```

Properties
The value obtained for the energy is -31.4 eV/cell.